PmNpTeS2: optimized geometry, GGA-PBE.

Unit cell a=7.5215 b=7.5215 c=7.5215 alpha=145.46 beta=145.46 gamma=49.64
Sites, in units of the cell vectors:
Pm: 0.0000 0.0000 0.0000
Np: 0.2739 0.2739 0.0000
Te: 0.6376 0.6376 0.0000
S: 0.3830 0.8830 0.5000
S: 0.8830 0.3830 0.5000

Properties
energy relative to the elements, uncorrected: -1.263 eV per atom